--- A ---
DFT (PBEsol) results for crystalline LiCSeBr2 at its relaxed geometry. Values from VASP.

Output
The calculated volume is 104.5 Å³ per cell. As for the space group: P4/mmm. The total magnetic moment comes out at 0.44 μB per cell.

```
&SYSTEM
  ibrav = 0, nat = 5, ntyp = 4
/
ATOMIC_SPECIES
Br 79.90 Br.upf
Se 78.96 Se.upf
Li 6.94 Li.upf
C 12.01 C.upf
ATOMIC_POSITIONS angstrom
Br 0.000 2.359 0.000
Se 0.000 0.000 2.346
Li 0.000 0.000 0.000
Br 2.359 0.000 0.000
C 2.359 2.359 2.346
CELL_PARAMETERS angstrom
4.718 0.000 0.000
0.000 4.718 0.000
0.000 0.000 4.693
```


--- B ---
DFT (PBEsol) results for crystalline LiCSeBr2 at its relaxed geometry. Values from VASP.

Output
The calculated volume is 107.1 Å³ per cell. As for the space group: P4/mmm. The total magnetic moment comes out at 0.00 μB per cell.

```
&SYSTEM
  ibrav = 0, nat = 5, ntyp = 4
/
ATOMIC_SPECIES
Li 6.94 Li.upf
Br 79.90 Br.upf
C 12.01 C.upf
Se 78.96 Se.upf
ATOMIC_POSITIONS angstrom
Li 2.002 2.585 2.585
Br 0.000 0.000 2.585
C 0.000 0.000 0.000
Br 0.000 2.585 0.000
Se 2.002 0.000 0.000
CELL_PARAMETERS angstrom
4.004 0.000 0.000
0.000 5.171 0.000
0.000 0.000 5.171
```


Relative energies, kJ/mol of atoms: A 81.9; B 0.0.


--- A ---
DFT (PBEsol) results for crystalline Sb2CBr at its relaxed geometry. Values from VASP.

Output
The calculated volume is 176.2 Å³ per cell. As for the space group: I-42d. The total magnetic moment comes out at 0.00 μB per cell.

```
&SYSTEM
  ibrav = 0, nat = 8, ntyp = 3
/
ATOMIC_SPECIES
C 12.01 C.upf
Sb 121.76 Sb.upf
Br 79.90 Br.upf
ATOMIC_POSITIONS angstrom
C -3.019 1.036 -1.296
Sb -1.140 2.115 2.058
C -0.900 3.822 0.575
Br 0.000 0.000 0.000
Sb -4.390 1.901 0.300
Br -3.120 -0.324 2.431
Sb -1.052 0.289 4.971
Sb -1.459 2.691 -1.318
CELL_PARAMETERS angstrom
-0.799 5.183 -3.152
-5.239 -3.110 0.560
2.018 1.425 5.598
```


--- B ---
DFT (PBEsol) results for crystalline Sb2CBr at its relaxed geometry. Values from VASP.

Output
The calculated volume is 79.5 Å³ per cell. As for the space group: Fm-3m. The total magnetic moment comes out at 0.00 μB per cell.

```
&SYSTEM
  ibrav = 0, nat = 4, ntyp = 3
/
ATOMIC_SPECIES
C 12.01 C.upf
Sb 121.76 Sb.upf
Br 79.90 Br.upf
ATOMIC_POSITIONS angstrom
C 0.000 0.000 0.000
Sb 7.241 4.181 2.956
Br 4.827 2.787 1.971
Sb 2.414 1.394 0.985
CELL_PARAMETERS angstrom
4.827 0.000 0.000
2.414 4.181 0.000
2.414 1.394 3.941
```


Relative energies, kJ/mol of atoms: A 0.0; B 62.5.